Here is Mg2TaAgPd at its PBEsol-relaxed geometry from Alexandria via LeMat-Bulk. Energies are from meta-GGA SCAN.

It has space group P4/mmm (No. 123), with a = 4.638 Å, b = 4.638 Å, c = 4.882 Å, α = 90.00°, β = 90.00° and γ = 90.00°. The inequivalent atoms are Mg at (0.000, 0.500, 0.000), Ta at (0.000, 0.000, 0.500), Ag at (0.500, 0.500, 0.000) and Pd at (0.500, 0.500, 0.500).

As for the formation energy: 1.03 eV per atom.



Here is Cs2AgAs2 at its PBEsol-relaxed geometry from Alexandria via LeMat-Bulk. Energies are from meta-GGA SCAN.

It has space group I4/mmm (No. 139), with a = 7.045 Å, b = 7.045 Å, c = 7.490 Å, α = 90.00°, β = 90.00° and γ = 90.00°. The inequivalent atoms are Cs at (0.000, 0.500, 0.250), Ag at (0.000, 0.000, 0.000) and As at (0.000, 0.000, 0.339).

As for the formation energy: -0.04 eV per atom.